[1]
A plane-wave DFT calculation with PBE-GGA was carried out for Dy2NiOs after structural relaxation.

Lattice parameters (Å, degrees): 3.401 3.401 6.782 90.00 90.00 90.00
Element x y z (fractional)
Dy 0.000 0.000 0.248
Dy 0.000 0.000 0.752
Ni 0.500 0.500 0.500
Os 0.500 0.500 0.000

Properties
The symmetry is P4/mmm, No. 123. For the formation energy, the calculation gives -0.291 eV per atom.

[2]
A plane-wave DFT calculation with PBE-GGA was carried out for NaSmPb2 after structural relaxation.

Lattice parameters (Å, degrees): 7.087 7.087 7.087 40.21 40.21 40.21
Element x y z (fractional)
Na 0.000 0.000 0.000
Sm 0.186 0.186 0.186
Pb 0.595 0.595 0.595
Pb 0.759 0.759 0.759

Properties
The symmetry is R3m, No. 160. For the formation energy, the calculation gives -0.078 eV per atom.

[3]
A plane-wave DFT calculation with PBE-GGA was carried out for Ti3S4 after structural relaxation.

Lattice parameters (Å, degrees): 5.985 5.985 3.456 90.00 90.00 107.74
Element x y z (fractional)
Ti 0.000 0.000 0.000
Ti 0.000 0.500 0.500
Ti 0.500 0.000 0.500
S 0.251 0.251 0.500
S 0.259 0.741 0.000
S 0.741 0.259 0.000
S 0.749 0.749 0.500

Properties
The calculation puts the uncorrected formation energy at -1382 meV per atom. As for the relative energy among the computed polymorphs: 0.27 eV per formula unit. The symmetry is Cmmm, No. 65.

[4]
A plane-wave DFT calculation with PBE-GGA was carried out for KLiB2Cl8 after structural relaxation.

Lattice parameters (Å, degrees): 9.787 9.787 9.787 35.92 35.92 35.92
Element x y z (fractional)
K 0.000 0.000 0.000
Li 0.500 0.500 0.500
B 0.247 0.247 0.247
B 0.753 0.753 0.753
Cl 0.068 0.775 0.481
Cl 0.225 0.519 0.932
Cl 0.315 0.315 0.315
Cl 0.481 0.068 0.775
Cl 0.519 0.932 0.225
Cl 0.685 0.685 0.685
Cl 0.775 0.481 0.068
Cl 0.932 0.225 0.519

Properties
The calculation puts the uncorrected formation energy at -1252 meV per atom. The symmetry is R-3, No. 148.

[5]
A plane-wave DFT calculation with PBE-GGA was carried out for TcAsO3 after structural relaxation.

Lattice parameters (Å, degrees): 3.879 3.879 3.879 90.00 90.00 90.00
Element x y z (fractional)
Tc 0.000 0.000 0.000
As 0.500 0.500 0.500
O 0.000 0.500 0.500
O 0.500 0.000 0.500
O 0.500 0.500 0.000

Properties
The calculation puts the uncorrected formation energy at -165 meV per atom. The symmetry is Pm-3m, No. 221.

[6]
A plane-wave DFT calculation with PBE-GGA was carried out for BaLi2GeS after structural relaxation.

Lattice parameters (Å, degrees): 4.762 4.762 5.826 90.00 90.00 90.00
Element x y z (fractional)
Ba 0.000 0.000 0.000
Li 0.000 0.500 0.500
Li 0.500 0.000 0.500
Ge 0.500 0.500 0.000
S 0.500 0.500 0.500

Properties
The calculation puts the uncorrected formation energy at -441 meV per atom. The symmetry is P4/mmm, No. 123.

[7]
A plane-wave DFT calculation with PBE-GGA was carried out for ZrVP3 after structural relaxation.

Lattice parameters (Å, degrees): 4.957 4.957 4.957 90.00 90.00 90.00
Element x y z (fractional)
Zr 0.000 0.000 0.000
V 0.500 0.500 0.500
P 0.000 0.000 0.500
P 0.000 0.500 0.000
P 0.500 0.000 0.000

Properties
As for the relative energy among the computed polymorphs: 2.99 eV per formula unit. The symmetry is Pm-3m, No. 221. For the formation energy, the calculation gives 0.687 eV per atom.

[8]
A plane-wave DFT calculation with PBE-GGA was carried out for Y3Sc2Zn3 after structural relaxation.

Lattice parameters (Å, degrees): 10.903 10.903 10.903 161.40 153.11 32.90
Element x y z (fractional)
Y 0.000 0.000 0.000
Y 0.378 0.878 0.500
Y 0.622 0.122 0.500
Sc 0.232 0.232 0.000
Sc 0.768 0.768 0.000
Zn 0.123 0.623 0.500
Zn 0.500 0.500 0.000
Zn 0.877 0.377 0.500

Properties
The symmetry is Immm, No. 71. For the formation energy, the calculation gives -0.269 eV per atom.

[9]
A plane-wave DFT calculation with PBE-GGA was carried out for LaNiSn2 after structural relaxation.

Lattice parameters (Å, degrees): 10.321 10.321 10.321 19.18 19.18 19.18
Element x y z (fractional)
La 0.000 0.000 0.000
Ni 0.500 0.500 0.500
Sn 0.109 0.109 0.109
Sn 0.891 0.891 0.891

Properties
The symmetry is R-3m, No. 166. For the formation energy, the calculation gives 0.048 eV per atom.

[10]
A plane-wave DFT calculation with PBE-GGA was carried out for CsKSnTe3 after structural relaxation.

Lattice parameters (Å, degrees): 7.397 7.397 11.590 98.19 98.19 95.13
Element x y z (fractional)
Cs 0.230 0.230 0.067
Cs 0.770 0.770 0.933
K 0.295 0.705 0.500
K 0.705 0.295 0.500
Sn 0.031 0.031 0.680
Sn 0.969 0.969 0.320
Te 0.178 0.757 0.198
Te 0.208 0.208 0.512
Te 0.243 0.822 0.802
Te 0.757 0.178 0.198
Te 0.792 0.792 0.488
Te 0.822 0.243 0.802

Properties
The calculation puts the uncorrected formation energy at -653 meV per atom. The symmetry is C2/m, No. 12.

[11]
A plane-wave DFT calculation with PBE-GGA was carried out for SrNi2Sb after structural relaxation.

Lattice parameters (Å, degrees): 6.132 6.132 6.132 40.38 40.38 40.38
Element x y z (fractional)
Sr 0.000 0.000 0.000
Ni 0.200 0.200 0.200
Ni 0.529 0.529 0.529
Sb 0.808 0.808 0.808

Properties
The calculation puts the uncorrected formation energy at -396 meV per atom. The symmetry is R3m, No. 160.

[12]
A plane-wave DFT calculation with PBE-GGA was carried out for Si2RhNO after structural relaxation.

Lattice parameters (Å, degrees): 2.929 2.981 6.990 90.00 90.00 90.00
Element x y z (fractional)
Si 0.000 0.000 0.000
Si 0.000 0.500 0.408
Rh 0.500 0.500 0.844
N 0.500 0.500 0.518
O 0.000 0.000 0.256

Properties
The calculation puts the uncorrected formation energy at -1041 meV per atom. As for the relative energy among the computed polymorphs: 0.94 eV per formula unit. The symmetry is Pmm2, No. 25.

[13]
A plane-wave DFT calculation with PBE-GGA was carried out for CrBi4 after structural relaxation.

Lattice parameters (Å, degrees): 5.330 5.330 5.330 90.00 90.00 90.00
Element x y z (fractional)
Cr 0.000 0.000 0.000
Bi 0.000 0.000 0.500
Bi 0.000 0.500 0.000
Bi 0.500 0.000 0.000
Bi 0.500 0.500 0.500

Properties
The symmetry is Pm-3m, No. 221. For the formation energy, the calculation gives 0.458 eV per atom.

[14]
A plane-wave DFT calculation with PBE-GGA was carried out for Bi2Te2As after structural relaxation.

Lattice parameters (Å, degrees): 7.996 7.996 4.829 90.00 90.00 90.00
Element x y z (fractional)
Bi 0.141 0.359 0.000
Bi 0.359 0.859 0.000
Bi 0.641 0.141 0.000
Bi 0.859 0.641 0.000
Te 0.179 0.679 0.500
Te 0.321 0.179 0.500
Te 0.679 0.821 0.500
Te 0.821 0.321 0.500
As 0.000 0.000 0.500
As 0.500 0.500 0.500

Properties
The calculation puts the uncorrected formation energy at 292 meV per atom. The symmetry is P4/mbm, No. 127.

[15]
A plane-wave DFT calculation with PBE-GGA was carried out for Be5NbCo after structural relaxation.

Lattice parameters (Å, degrees): 7.133 4.205 8.861 90.00 90.00 90.00
Element x y z (fractional)
Be 0.039 0.250 0.103
Be 0.060 0.509 0.310
Be 0.060 0.991 0.310
Be 0.083 0.750 0.516
Be 0.196 0.750 0.750
Be 0.304 0.250 0.250
Be 0.417 0.250 0.016
Be 0.440 0.009 0.810
Be 0.440 0.491 0.810
Be 0.461 0.750 0.603
Be 0.539 0.250 0.397
Be 0.560 0.509 0.190
Be 0.560 0.991 0.190
Be 0.583 0.750 0.984
Be 0.696 0.750 0.750
Be 0.804 0.250 0.250
Be 0.917 0.250 0.484
Be 0.940 0.009 0.690
Be 0.940 0.491 0.690
Be 0.961 0.750 0.897
Nb 0.235 0.750 0.067
Nb 0.265 0.250 0.567
Nb 0.735 0.750 0.433
Nb 0.765 0.250 0.933
Co 0.145 0.250 0.864
Co 0.355 0.750 0.364
Co 0.645 0.250 0.636
Co 0.855 0.750 0.136

Properties
The symmetry is Pnma, No. 62. For the formation energy, the calculation gives -0.252 eV per atom.

[16]
A plane-wave DFT calculation with PBE-GGA was carried out for SrAgH3 after structural relaxation.

Lattice parameters (Å, degrees): 4.473 4.473 4.473 90.00 90.00 90.00
Element x y z (fractional)
Sr 0.000 0.000 0.000
Ag 0.500 0.500 0.500
H 0.000 0.000 0.500
H 0.000 0.500 0.000
H 0.500 0.000 0.000

Properties
As for the relative energy among the computed polymorphs: 2.97 eV per formula unit. The symmetry is Pm-3m, No. 221.

[17]
A plane-wave DFT calculation with PBE-GGA was carried out for CaCdSe2 after structural relaxation.

Lattice parameters (Å, degrees): 5.220 5.220 3.777 101.55 101.55 89.82
Element x y z (fractional)
Ca 0.000 0.000 0.000
Cd 0.500 0.500 0.000
Se 0.000 0.500 0.500
Se 0.500 0.000 0.500

Properties
The calculation puts the uncorrected formation energy at -926 meV per atom. The symmetry is C2/m, No. 12.

[18]
A plane-wave DFT calculation with PBE-GGA was carried out for Tm2Ga5Ir3 after structural relaxation.

Lattice parameters (Å, degrees): 12.389 12.389 6.834 90.00 90.00 160.17
Element x y z (fractional)
Tm 0.021 0.979 0.500
Tm 0.323 0.677 0.429
Tm 0.677 0.323 0.929
Tm 0.979 0.021 0.000
Ga 0.101 0.899 0.133
Ga 0.206 0.794 0.616
Ga 0.209 0.791 0.216
Ga 0.375 0.625 0.985
Ga 0.448 0.552 0.329
Ga 0.552 0.448 0.829
Ga 0.625 0.375 0.485
Ga 0.791 0.209 0.716
Ga 0.794 0.206 0.116
Ga 0.899 0.101 0.633
Ir 0.109 0.891 0.753
Ir 0.272 0.728 0.913
Ir 0.451 0.549 0.716
Ir 0.549 0.451 0.216
Ir 0.728 0.272 0.413
Ir 0.891 0.109 0.253

Properties
The symmetry is Cmc2_1, No. 36. For the formation energy, the calculation gives -0.699 eV per atom.

[19]
A plane-wave DFT calculation with PBE-GGA was carried out for Tm2Al3Zn after structural relaxation.

Lattice parameters (Å, degrees): 8.969 8.496 5.684 75.58 66.56 37.87
Element x y z (fractional)
Tm 0.249 0.751 0.751
Tm 0.250 0.250 0.250
Tm 0.750 0.750 0.750
Tm 0.751 0.249 0.249
Al 0.164 0.668 0.332
Al 0.332 0.332 0.668
Al 0.332 0.836 0.164
Al 0.668 0.164 0.836
Al 0.668 0.668 0.332
Al 0.836 0.332 0.668
Zn 0.167 0.167 0.833
Zn 0.833 0.833 0.167

Properties
The symmetry is Fmmm, No. 69. For the formation energy, the calculation gives -0.462 eV per atom.

[20]
A plane-wave DFT calculation with PBE-GGA was carried out for LaPmAgBi after structural relaxation.

Lattice parameters (Å, degrees): 5.486 5.486 5.486 60.00 60.00 60.00
Element x y z (fractional)
La 0.000 0.000 0.000
Pm 0.500 0.500 0.500
Ag 0.750 0.750 0.750
Bi 0.250 0.250 0.250

Properties
The symmetry is F-43m, No. 216. For the formation energy, the calculation gives -0.519 eV per atom.

[21]
A plane-wave DFT calculation with PBE-GGA was carried out for LiPr2HoTl4 after structural relaxation.

Lattice parameters (Å, degrees): 9.549 9.549 9.549 32.46 32.46 32.46
Element x y z (fractional)
Li 0.000 0.000 0.000
Pr 0.256 0.256 0.256
Pr 0.744 0.744 0.744
Ho 0.500 0.500 0.500
Tl 0.125 0.125 0.125
Tl 0.374 0.374 0.374
Tl 0.626 0.626 0.626
Tl 0.875 0.875 0.875

Properties
The symmetry is R-3m, No. 166. For the formation energy, the calculation gives -0.342 eV per atom.

[22]
A plane-wave DFT calculation with PBE-GGA was carried out for MgIn2Ru after structural relaxation.

Lattice parameters (Å, degrees): 3.513 3.513 6.149 90.00 90.00 90.00
Element x y z (fractional)
Mg 0.000 0.000 0.000
In 0.500 0.500 0.265
In 0.500 0.500 0.735
Ru 0.000 0.000 0.500

Properties
The symmetry is P4/mmm, No. 123. For the formation energy, the calculation gives 0.007 eV per atom.

[23]
A plane-wave DFT calculation with PBE-GGA was carried out for Pr3HoAu4 after structural relaxation.

Lattice parameters (Å, degrees): 3.685 3.685 14.949 90.00 90.00 90.00
Element x y z (fractional)
Pr 0.000 0.000 0.000
Pr 0.000 0.000 0.255
Pr 0.000 0.000 0.745
Ho 0.000 0.000 0.500
Au 0.500 0.500 0.126
Au 0.500 0.500 0.389
Au 0.500 0.500 0.611
Au 0.500 0.500 0.874

Properties
The symmetry is P4/mmm, No. 123. For the formation energy, the calculation gives -0.777 eV per atom.

[24]
A plane-wave DFT calculation with PBE-GGA was carried out for PuAgHg2 after structural relaxation.

Lattice parameters (Å, degrees): 10.097 10.097 10.097 18.84 18.84 18.84
Element x y z (fractional)
Pu 0.000 0.000 0.000
Ag 0.500 0.500 0.500
Hg 0.244 0.244 0.244
Hg 0.756 0.756 0.756

Properties
The symmetry is R-3m, No. 166. For the formation energy, the calculation gives 0.030 eV per atom.